(1)
CaTl2Mo: optimized geometry, GGA-PBEsol.

a b c (Å): 7.0974 7.0974 7.0974
angles (deg): 90.00 90.00 90.00
Last column: nearest neighbours and their distance in Å.
Space group Fm-3m (No. 225)
Unique sites:
Ca 0.0000 0.0000 0.0000 x4  8 Tl 3.07
Tl 0.2500 0.2500 0.2500 x8  4 Mo 3.07, 4 Ca 3.07
Mo 0.0000 0.0000 0.5000 x4  8 Tl 3.07

Values from the calculation:
Calculated density (Mg/m³): 10.12
Final energy (Ry/atom): -0.323
ΔH_f (0 K) (eV per atom): 0.3978
Crystal system: cubic

(2)
HfTi2Ga2: optimized geometry, GGA-PBEsol.

a b c (Å): 7.2040 7.2040 3.2078
angles (deg): 90.00 90.00 90.00
Last column: nearest neighbours and their distance in Å.
Space group P4/mbm (No. 127)
Unique sites:
Hf 0.0000 0.0000 0.0000 x2  4 Ga 2.86, 8 Ti 3.10
Ti 0.1767 0.3233 0.5000 x4  6 Ga 2.59-2.72
Ga 0.1231 0.6231 0.0000 x4  1 Ga 2.51, 6 Ti 2.59-2.72

Values from the calculation:
Calculated density (Mg/m³): 8.25
Final energy (Ry/atom): -0.531
ΔH_f (0 K) (eV per atom): -0.4623
Crystal system: tetragonal

(3)
In2Sn2O7: optimized geometry, GGA-PBEsol.

a b c (Å): 10.2554 10.2554 10.2554
angles (deg): 90.00 90.00 90.00
Last column: nearest neighbours and their distance in Å.
Space group Fd-3m (No. 227, origin choice 2)
Unique sites:
In 0.0000 0.0000 0.0000 x16  8 O 2.22-2.43
Sn 0.0000 0.0000 0.5000 x16  6 O 2.05
O 0.0926 0.3750 0.8750 x48  2 Sn 2.05
O 0.1250 0.1250 0.1250 x8  4 In 2.22

Values from the calculation:
Uncorrected formation energy (eV/atom): -1.5697
Calculated density (Mg/m³): 7.13
Final energy (Ry/atom): -0.458
Crystal system: cubic

(4)
SbTeAu: optimized geometry, GGA-PBEsol.

a b c (Å): 3.7102 3.7102 10.7538
angles (deg): 90.00 90.00 90.00
Last column: nearest neighbours and their distance in Å.
Space group I4mm (No. 107)
Unique sites:
Sb 0.0000 0.0000 0.0000 x2  1 Te 2.89, 4 Au 2.89
Te 0.0000 0.0000 0.7317 x2  1 Sb 2.89, 4 Au 3.11
Au 0.0000 0.0000 0.3878 x2  4 Sb 2.89, 4 Te 3.11

Values from the calculation:
Uncorrected formation energy (eV/atom): 0.1596
Calculated density (Mg/m³): 10.01
Final energy (Ry/atom): -0.282
Crystal system: tetragonal

(5)
SrTlCd: optimized geometry, GGA-PBEsol.

a b c (Å): 3.8530 3.8530 11.7041
angles (deg): 90.00 90.00 90.00
Last column: nearest neighbours and their distance in Å.
Space group I4mm (No. 107)
Unique sites:
Sr 0.0000 0.0000 0.0000 x2  5 Cd 3.43-3.78, 5 Tl 3.49-3.67
Tl 0.0000 0.0000 0.3133 x2  4 Cd 3.15, 4 Sr 3.49
Cd 0.0000 0.0000 0.6774 x2  4 Tl 3.15, 4 Sr 3.43

Values from the calculation:
Calculated density (Mg/m³): 7.73
Final energy (Ry/atom): -0.159
ΔH_f (0 K) (eV per atom): -0.2805
Crystal system: tetragonal

(6)
MgCuPb2: optimized geometry, GGA-PBEsol.

a b c (Å): 3.5541 5.4629 9.5704
angles (deg): 90.00 90.00 90.00
Last column: nearest neighbours and their distance in Å.
Space group Immm (No. 71)
Unique sites:
Mg 0.0000 0.0000 0.0000 x2  8 Pb 3.22-3.45, 4 Cu 3.26, 2 Mg 3.55
Cu 0.0000 0.0000 0.5000 x2  4 Pb 2.75
Pb 0.0000 0.5000 0.2194 x4  2 Cu 2.75

Values from the calculation:
Calculated density (Mg/m³): 8.98
Final energy (Ry/atom): -0.246
ΔH_f (0 K) (eV per atom): 0.1675
Crystal system: orthorhombic